[1]
# Ho6TeAs2Pb3 (PBE, relaxed)
# Magnetization in μB/atom: 0.00
# VASP energy in eV for the cell shown: -124.3
# DOS(E_F) in states/eV per cell: 9.1
# Raw formation energy in eV/atom: -0.928
data_Ho6TeAs2Pb3
_chemical_formula_sum 'Ho12 Te2 As4 Pb6'
_cell_length_a 19.3287
_cell_length_b 4.1363
_cell_length_c 8.9610
_cell_angle_alpha 90.00
_cell_angle_beta 109.90
_cell_angle_gamma 90.00
_space_group_name_H-M_alt 'C 1 2/m 1'
_space_group_IT_number 12
_space_group_name_Hall '-C 2y'
loop_
_atom_site_label
_atom_site_fract_x
_atom_site_fract_y
_atom_site_fract_z
Ho1 0.0111 0.0000 0.2533
Ho2 0.1681 0.5000 0.1044
Ho3 0.1750 0.5000 0.5607
Te1 0.0000 0.5000 0.0000
As1 0.1675 0.0000 0.3305
Pb1 0.0000 0.5000 0.5000
Pb2 0.1616 0.0000 0.8248

***

[2]
# Ac8Sn3H2 (PBE, relaxed)
# Magnetization in μB/atom: 0.08
# VASP energy in eV for the cell shown: -168.2
# DOS(E_F) in states/eV per cell: 44.4
data_Ac8Sn3H2
_chemical_formula_sum 'Ac24 Sn9 H6'
_cell_length_a 7.4469
_cell_length_b 7.4469
_cell_length_c 28.3008
_cell_angle_alpha 90.00
_cell_angle_beta 90.00
_cell_angle_gamma 120.00
_space_group_name_H-M_alt 'R -3 m'
_space_group_IT_number 166
_space_group_name_Hall '-R 3 2"'
loop_
_atom_site_label
_atom_site_fract_x
_atom_site_fract_y
_atom_site_fract_z
Ac1 0.0000 0.0000 0.1835
Ac2 0.0060 0.5030 0.2692
Sn1 0.0000 0.0000 0.3002
Sn2 0.0000 0.0000 0.5000
H1 0.0000 0.0000 0.0994

***

[3]
# Pm8Sm5Sn (PBE, relaxed)
# Magnetization in μB/atom: 0.00
# VASP energy in eV for the cell shown: -127.4
# DOS(E_F) in states/eV per cell: 46.8
# Energy of formation from the pure elements in meV/atom: 135
data_Pm8Sm5Sn
_chemical_formula_sum 'Pm16 Sm10 Sn2'
_cell_length_a 9.9151
_cell_length_b 9.9151
_cell_length_c 9.7729
_cell_angle_alpha 90.00
_cell_angle_beta 90.00
_cell_angle_gamma 90.00
_space_group_name_H-M_alt 'I -4'
_space_group_IT_number 82
_space_group_name_Hall 'I -4'
loop_
_atom_site_label
_atom_site_fract_x
_atom_site_fract_y
_atom_site_fract_z
Pm1 0.0629 0.3385 0.4412
Pm2 0.0931 0.1970 0.7639
Sm1 0.0000 0.0000 0.5000
Sm2 0.1013 0.2083 0.1021
Sn1 0.0000 0.5000 0.7500

***

[4]
# TaAs2Os (PBE, relaxed)
# Magnetization in μB/atom: 0.00
# VASP energy in eV for the cell shown: -122.7
# DOS(E_F) in states/eV per cell: 17.7
# Energy of formation from the pure elements in meV/atom: 428
data_TaAs2Os
_chemical_formula_sum 'Ta4 As8 Os4'
_cell_length_a 6.4441
_cell_length_b 6.4441
_cell_length_c 6.4441
_cell_angle_alpha 90.00
_cell_angle_beta 90.00
_cell_angle_gamma 90.00
_space_group_name_H-M_alt 'F -4 3 m'
_space_group_IT_number 216
_space_group_name_Hall 'F -4 2 3'
loop_
_atom_site_label
_atom_site_fract_x
_atom_site_fract_y
_atom_site_fract_z
Ta1 0.0000 0.0000 0.0000
As1 0.0000 0.0000 0.5000
As2 0.2500 0.2500 0.2500
Os1 0.2500 0.2500 0.7500

***

[5]
# Na6Hg12Bi (PBE, relaxed)
# Magnetization in μB/atom: 0.00
# VASP energy in eV for the cell shown: -57.1
# DOS(E_F) in states/eV per cell: 16.2
# Energy of formation from the pure elements in meV/atom: -191
data_Na6Hg12Bi
_chemical_formula_sum 'Na18 Hg36 Bi3'
_cell_length_a 11.6272
_cell_length_b 11.6272
_cell_length_c 13.2012
_cell_angle_alpha 90.00
_cell_angle_beta 90.00
_cell_angle_gamma 120.00
_space_group_name_H-M_alt 'R -3'
_space_group_IT_number 148
_space_group_name_Hall '-R 3'
loop_
_atom_site_label
_atom_site_fract_x
_atom_site_fract_y
_atom_site_fract_z
Na1 0.0195 0.5922 0.2144
Hg1 0.0478 0.8553 0.3084
Hg2 0.0556 0.1967 0.9076
Bi1 0.0000 0.0000 0.5000

***

[6]
# PPbSe2 (PBE, relaxed)
# Magnetization in μB/atom: 0.00
# VASP energy in eV for the cell shown: -45.5
# DOS(E_F) in states/eV per cell: 4.1
# Raw formation energy in eV/atom: 0.226
data_PPbSe2
_chemical_formula_sum 'P3 Pb3 Se6'
_cell_length_a 4.0952
_cell_length_b 4.0952
_cell_length_c 25.2168
_cell_angle_alpha 90.00
_cell_angle_beta 90.00
_cell_angle_gamma 120.00
_space_group_name_H-M_alt 'R -3 m'
_space_group_IT_number 166
_space_group_name_Hall '-R 3 2"'
loop_
_atom_site_label
_atom_site_fract_x
_atom_site_fract_y
_atom_site_fract_z
P1 0.0000 0.0000 0.0000
Pb1 0.0000 0.0000 0.5000
Se1 0.0000 0.0000 0.0920

***

[7]
# Cs2KAs (PBE, relaxed)
# Magnetization in μB/atom: 0.00
# VASP energy in eV for the cell shown: -33.7
# DOS(E_F) in states/eV per cell: 9.4
# Energy of formation from the pure elements in meV/atom: -241
data_Cs2KAs
_chemical_formula_sum 'Cs8 K4 As4'
_cell_length_a 13.4103
_cell_length_b 6.1144
_cell_length_c 10.7011
_cell_angle_alpha 90.00
_cell_angle_beta 117.29
_cell_angle_gamma 90.00
_space_group_name_H-M_alt 'C 1 m 1'
_space_group_IT_number 8
_space_group_name_Hall 'C -2y'
loop_
_atom_site_label
_atom_site_fract_x
_atom_site_fract_y
_atom_site_fract_z
Cs1 0.0000 0.0000 0.0000
Cs2 0.0001 0.0000 0.4961
Cs3 0.1224 0.5000 0.8684
Cs4 0.3753 0.0000 0.1287
K1 0.2497 0.5000 0.5971
K2 0.2515 0.0000 0.4032
As1 0.1947 0.5000 0.2423
As2 0.3031 0.0000 0.7570

***

[8]
# NdLuZnSi (PBE, relaxed)
# Magnetization in μB/atom: 0.00
# VASP energy in eV for the cell shown: -70.6
# DOS(E_F) in states/eV per cell: 5.3
# Raw formation energy in eV/atom: -0.418
data_NdLuZnSi
_chemical_formula_sum 'Nd4 Lu4 Zn4 Si4'
_cell_length_a 7.0905
_cell_length_b 7.0905
_cell_length_c 7.0905
_cell_angle_alpha 90.00
_cell_angle_beta 90.00
_cell_angle_gamma 90.00
_space_group_name_H-M_alt 'F -4 3 m'
_space_group_IT_number 216
_space_group_name_Hall 'F -4 2 3'
loop_
_atom_site_label
_atom_site_fract_x
_atom_site_fract_y
_atom_site_fract_z
Nd1 0.0000 0.0000 0.0000
Lu1 0.0000 0.0000 0.5000
Zn1 0.2500 0.2500 0.2500
Si1 0.2500 0.2500 0.7500

***

[9]
# SiHg3N (PBE, relaxed)
# Magnetization in μB/atom: 0.48
# VASP energy in eV for the cell shown: -8.8
# DOS(E_F) in states/eV per cell: 2.2
# Raw formation energy in eV/atom: 1.162
data_SiHg3N
_chemical_formula_sum 'Si1 Hg3 N1'
_cell_length_a 5.1949
_cell_length_b 5.1949
_cell_length_c 5.1949
_cell_angle_alpha 90.00
_cell_angle_beta 90.00
_cell_angle_gamma 90.00
_space_group_name_H-M_alt 'P m -3 m'
_space_group_IT_number 221
_space_group_name_Hall '-P 4 2 3'
loop_
_atom_site_label
_atom_site_fract_x
_atom_site_fract_y
_atom_site_fract_z
Si1 0.0000 0.0000 0.0000
Hg1 0.0000 0.0000 0.5000
N1 0.5000 0.5000 0.5000

***

[10]
# Sm4Ho3Al4 (PBE, relaxed)
# Magnetization in μB/atom: 0.00
# VASP energy in eV for the cell shown: -100.1
# DOS(E_F) in states/eV per cell: 19.6
# Energy of formation from the pure elements in meV/atom: -224
data_Sm4Ho3Al4
_chemical_formula_sum 'Sm8 Ho6 Al8'
_cell_length_a 3.5271
_cell_length_b 9.1822
_cell_length_c 18.6146
_cell_angle_alpha 90.00
_cell_angle_beta 90.00
_cell_angle_gamma 90.00
_space_group_name_H-M_alt 'I m m m'
_space_group_IT_number 71
_space_group_name_Hall '-I 2 2'
loop_
_atom_site_label
_atom_site_fract_x
_atom_site_fract_y
_atom_site_fract_z
Sm1 0.0000 0.1789 0.1643
Ho1 0.0000 0.0000 0.4062
Ho2 0.0000 0.5000 0.5000
Al1 0.0000 0.2796 0.0000
Al2 0.0000 0.5000 0.2249

***

[11]
# Sr4CaAc2 (PBE, relaxed)
# Magnetization in μB/atom: 0.00
# VASP energy in eV for the cell shown: -50.2
# DOS(E_F) in states/eV per cell: 29.7
# Energy of formation from the pure elements in meV/atom: 28
data_Sr4CaAc2
_chemical_formula_sum 'Sr12 Ca3 Ac6'
_cell_length_a 4.1114
_cell_length_b 4.1114
_cell_length_c 71.6366
_cell_angle_alpha 90.00
_cell_angle_beta 90.00
_cell_angle_gamma 120.00
_space_group_name_H-M_alt 'R -3 m'
_space_group_IT_number 166
_space_group_name_Hall '-R 3 2"'
loop_
_atom_site_label
_atom_site_fract_x
_atom_site_fract_y
_atom_site_fract_z
Sr1 0.0000 0.0000 0.0970
Sr2 0.0000 0.0000 0.3804
Ca1 0.0000 0.0000 0.0000
Ac1 0.0000 0.0000 0.1881

***

[12]
# YGa2Pd2 (PBE, relaxed)
# Magnetization in μB/atom: 0.00
# VASP energy in eV for the cell shown: -53.6
# DOS(E_F) in states/eV per cell: 7.6
# Energy of formation from the pure elements in meV/atom: -775
data_YGa2Pd2
_chemical_formula_sum 'Y2 Ga4 Pd4'
_cell_length_a 4.2102
_cell_length_b 4.2102
_cell_length_c 10.5194
_cell_angle_alpha 90.00
_cell_angle_beta 90.00
_cell_angle_gamma 90.00
_space_group_name_H-M_alt 'I 4/m m m'
_space_group_IT_number 139
_space_group_name_Hall '-I 4 2'
loop_
_atom_site_label
_atom_site_fract_x
_atom_site_fract_y
_atom_site_fract_z
Y1 0.0000 0.0000 0.0000
Ga1 0.0000 0.0000 0.3813
Pd1 0.0000 0.5000 0.2500

***

What is the VASP energy in the eleventh record?
-50.2 eV for the cell shown

***

Which formula does entry 4 have?
TaAs2Os